Entry from Alexandria: a geometry-optimized Cd3Pb structure (PBE-GGA).

Lattice parameters (Å, degrees): 6.7612 6.7612 5.1581 90.00 90.00 120.00
Fractional positions:
Cd 0.1597 0.3194 0.2500
Cd 0.1597 0.8403 0.2500
Cd 0.3194 0.1597 0.7500
Cd 0.6806 0.8403 0.2500
Cd 0.8403 0.1597 0.7500
Cd 0.8403 0.6806 0.7500
Pb 0.3333 0.6667 0.7500
Pb 0.6667 0.3333 0.2500

Calculated values
- Volume: 25.53 Å³/atom
- Energy relative to the elements: 61 meV/atom
- Magnetic moment: 0.000 Bohr magnetons per cell
- Calculated density: 8.85 Mg/m³